# 1
ThCdGa2Au2 | GGA-PBE | optimized geometry

The structure in POSCAR format:
```
ThCdGa2Au2
1.0
4.520 0.000 0.000
-2.260 3.915 0.000
0.000 0.000 7.107
Au Ga Th Cd
2 2 1 1
direct
0.667 0.333 0.717
0.333 0.667 0.283
0.667 0.333 0.262
0.333 0.667 0.738
0.000 0.000 0.000
0.000 0.000 0.500
```

**Crystal system**: trigonal
**Space group**: No. 164

# 2
TiCdGaAu | GGA-PBE | optimized geometry

The structure in POSCAR format:
```
TiCdGaAu
1.0
-4.561 -0.195 0.959
-1.562 -2.863 3.335
-1.617 1.752 4.010
Au Ga Cd Ti
1 1 1 1
direct
0.000 0.000 0.000
0.500 0.500 0.500
0.750 0.750 0.750
0.250 0.250 0.250
```

**Crystal system**: cubic
**Space group**: No. 216

# 3
TmCdGa2Au5 | GGA-PBE | optimized geometry

The structure in POSCAR format:
```
TmCdGa2Au5
1.0
-2.595 1.916 -3.018
1.851 -2.471 -3.160
-6.191 -6.318 1.313
Cd Au Ga Tm
1 5 2 1
direct
0.000 0.000 0.500
0.000 0.500 0.724
0.500 0.000 0.276
0.500 0.500 0.500
0.500 0.000 0.724
0.000 0.500 0.276
0.500 0.500 0.134
0.500 0.500 0.866
0.000 0.000 0.000
```

**Crystal system**: tetragonal
**Space group**: No. 123

# 4
Tm2CdGaAu4 | GGA-PBE | optimized geometry

The structure in POSCAR format:
```
Tm2CdGaAu4
1.0
4.874 0.000 0.000
2.437 4.221 0.000
2.437 1.407 7.858
Tm Au Ga Cd
2 4 1 1
direct
0.250 0.250 0.251
0.750 0.750 0.749
0.622 0.622 0.134
0.126 0.126 0.623
0.378 0.378 0.866
0.874 0.874 0.377
0.500 0.500 0.500
0.000 0.000 0.000
```

**Crystal system**: trigonal
**Space group**: No. 166

# 5
UCdGaAu | GGA-PBE | optimized geometry

The structure in POSCAR format:
```
UCdGaAu
1.0
-0.625 3.916 2.934
-3.870 2.986 -0.663
-3.669 0.051 3.297
Ga Au Cd U
1 1 1 1
direct
0.000 0.000 0.000
0.500 0.500 0.500
0.750 0.750 0.750
0.250 0.250 0.250
```

**Crystal system**: cubic
**Space group**: No. 216

# 6
UCdGa2Au5 | GGA-PBE | optimized geometry

The structure in POSCAR format:
```
UCdGa2Au5
1.0
-0.975 1.398 4.022
-3.106 -3.056 0.310
6.147 -5.889 3.536
Ga Au U Cd
2 5 1 1
direct
0.500 0.500 0.131
0.500 0.500 0.869
0.500 0.500 0.500
0.000 0.500 0.279
0.500 0.000 0.279
0.000 0.500 0.721
0.500 0.000 0.721
0.000 0.000 0.000
0.000 0.000 0.500
```

**Crystal system**: tetragonal
**Space group**: No. 123

# 7
YCdGaAu | GGA-PBE | optimized geometry

The structure in POSCAR format:
```
YCdGaAu
1.0
4.916 0.000 0.000
2.458 4.257 0.000
2.458 1.419 4.014
Y Cd Au Ga
1 1 1 1
direct
0.750 0.750 0.750
0.250 0.250 0.250
0.500 0.500 0.500
0.000 0.000 0.000
```

**Crystal system**: cubic
**Space group**: No. 216

# 8
Y4CdGaAu2 | GGA-PBE | optimized geometry

The structure in POSCAR format:
```
Y4CdGaAu2
1.0
5.147 0.000 0.000
2.574 4.457 0.000
2.574 1.486 8.431
Y Cd Au Ga
4 1 2 1
direct
0.128 0.128 0.615
0.872 0.872 0.385
0.622 0.622 0.135
0.378 0.378 0.865
0.000 0.000 0.000
0.256 0.256 0.232
0.744 0.744 0.768
0.500 0.500 0.500
```

**Crystal system**: trigonal
**Space group**: No. 166

# 9
YCdGa2Au2 | GGA-PBE | optimized geometry

The structure in POSCAR format:
```
YCdGa2Au2
1.0
4.536 0.000 0.000
-2.268 3.928 0.000
0.000 0.000 6.802
Ga Cd Y Au
2 1 1 2
direct
0.333 0.667 0.747
0.667 0.333 0.253
0.000 0.000 0.500
0.000 0.000 0.000
0.333 0.667 0.260
0.667 0.333 0.740
```

**Crystal system**: trigonal
**Space group**: No. 164

# 10
YCdGa2Au5 | GGA-PBE | optimized geometry

The structure in POSCAR format:
```
YCdGa2Au5
1.0
4.411 0.000 0.000
0.000 4.411 0.000
0.000 0.000 9.026
Au Cd Y Ga
5 1 1 2
direct
0.500 0.500 0.500
0.500 0.000 0.722
0.500 0.000 0.278
0.000 0.500 0.278
0.000 0.500 0.722
0.000 0.000 0.500
0.000 0.000 0.000
0.500 0.500 0.134
0.500 0.500 0.866
```

**Crystal system**: tetragonal
**Space group**: No. 123

# 11
Y2CdGa3Au4 | GGA-PBE | optimized geometry

The structure in POSCAR format:
```
Y2CdGa3Au4
1.0
-1.641 0.886 3.862
2.882 -2.602 1.822
7.194 8.711 1.060
Au Cd Ga Y
4 1 3 2
direct
0.000 0.000 0.000
0.000 0.500 0.347
0.500 0.000 0.653
0.500 0.500 0.000
0.500 0.500 0.500
0.000 0.500 0.130
0.500 0.000 0.870
0.000 0.000 0.500
0.500 0.000 0.235
0.000 0.500 0.765
```

**Crystal system**: tetragonal
**Space group**: No. 115

# 12
ZnCdGaAu | GGA-PBE | optimized geometry

The structure in POSCAR format:
```
ZnCdGaAu
1.0
4.751 0.000 0.000
2.375 4.114 0.000
2.375 1.371 3.879
Zn Cd Ga Au
1 1 1 1
direct
0.500 0.500 0.500
0.250 0.250 0.250
0.750 0.750 0.750
0.000 0.000 0.000
```

**Crystal system**: cubic
**Space group**: No. 216

| no. | formation energy (meV per atom) |
| --- | --- |
| 1 | -464 |
| 2 | -149 |
| 3 | -354 |
| 4 | -666 |
| 5 | -102 |
| 6 | -171 |
| 7 | -521 |
| 8 | -652 |
| 9 | -505 |
| 10 | -386 |
| 11 | -551 |
| 12 | 17 |